# 1
CrTcNiRh after structural relaxation. Source: the Alexandria database, functional PBE-GGA.

Unit cell a=5.909 b=5.909 c=5.909 alpha=90.00 beta=90.00 gamma=90.00
Space group F-43m (No. 216)
One atom of each set of equivalent atoms:
Cr: 0.000 0.000 0.000
Tc: 0.250 0.250 0.750
Ni: 0.000 0.000 0.500
Rh: 0.250 0.250 0.250

---

# 2
VCrNiRh after structural relaxation. Source: the Alexandria database, functional PBE-GGA.

Unit cell a=5.890 b=5.890 c=5.890 alpha=90.00 beta=90.00 gamma=90.00
Space group F-43m (No. 216)
One atom of each set of equivalent atoms:
V: 0.000 0.000 0.000
Cr: 0.250 0.250 0.750
Ni: 0.000 0.000 0.500
Rh: 0.250 0.250 0.250

---

# 3
VCrNiRh2 after structural relaxation. Source: the Alexandria database, functional PBE-GGA.

Unit cell a=4.407 b=4.407 c=4.221 alpha=90.00 beta=90.00 gamma=90.00
Space group P4/mmm (No. 123)
One atom of each set of equivalent atoms:
V: 0.000 0.000 0.000
Cr: 0.500 0.500 0.500
Ni: 0.500 0.500 0.000
Rh: 0.000 0.500 0.500

---

# 4
ZrCrNiRh2 after structural relaxation. Source: the Alexandria database, functional PBE-GGA.

Unit cell a=4.744 b=4.744 c=4.535 alpha=90.00 beta=90.00 gamma=90.00
Space group P4/mmm (No. 123)
One atom of each set of equivalent atoms:
Zr: 0.000 0.000 0.000
Cr: 0.500 0.500 0.500
Ni: 0.000 0.000 0.500
Rh: 0.000 0.500 0.000

---

# 5
CrNiRu2 after structural relaxation. Source: the Alexandria database, functional PBE-GGA.

Unit cell a=2.799 b=4.355 c=8.588 alpha=90.00 beta=90.00 gamma=90.00
Space group Cmm2 (No. 35)
One atom of each set of equivalent atoms:
Cr: 0.000 0.000 0.000
Ni: 0.000 0.500 0.231
Ru: 0.000 0.000 0.485
Ru: 0.000 0.500 0.758

---

# 6
CrNiRu3 after structural relaxation. Source: the Alexandria database, functional PBE-GGA.

Unit cell a=4.378 b=4.378 c=4.378 alpha=90.00 beta=90.00 gamma=90.00
Space group Pm-3m (No. 221)
One atom of each set of equivalent atoms:
Cr: 0.000 0.000 0.000
Ni: 0.500 0.500 0.500
Ru: 0.000 0.000 0.500

---

# 7
CrNiRu after structural relaxation. Source: the Alexandria database, functional PBE-GGA.

Unit cell a=8.142 b=3.620 c=5.272 alpha=90.00 beta=109.06 gamma=90.00
Space group C2/m (No. 12)
One atom of each set of equivalent atoms:
Cr: 0.166 0.000 0.089
Ni: 0.171 0.000 0.580
Ru: 0.010 0.500 0.754

---

# 8
CrNiRu2 after structural relaxation. Source: the Alexandria database, functional PBE-GGA.

Unit cell a=2.641 b=2.641 c=7.319 alpha=90.00 beta=90.00 gamma=90.00
Space group P4mm (No. 99)
One atom of each set of equivalent atoms:
Cr: 0.000 0.000 0.000
Ni: 0.500 0.500 0.230
Ru: 0.000 0.000 0.486
Ru: 0.500 0.500 0.748

---

# 9
CrNiRu after structural relaxation. Source: the Alexandria database, functional PBE-GGA.

Unit cell a=4.444 b=4.114 c=4.557 alpha=90.00 beta=119.06 gamma=90.00
Space group P2_1/m (No. 11)
One atom of each set of equivalent atoms:
Cr: 0.011 0.250 0.172
Ni: 0.352 0.250 0.851
Ru: 0.311 0.750 0.500

---

# 10
CrNiRu after structural relaxation. Source: the Alexandria database, functional PBE-GGA.

Unit cell a=4.415 b=7.879 c=4.424 alpha=90.00 beta=107.65 gamma=90.00
Space group C2/c (No. 15)
One atom of each set of equivalent atoms:
Cr: 0.000 0.249 0.250
Ni: 0.000 0.421 0.750
Ru: 0.000 0.097 0.750

---

# 11
Cr2NiRu after structural relaxation. Source: the Alexandria database, functional PBE-GGA.

Unit cell a=4.360 b=2.667 c=4.422 alpha=90.00 beta=108.01 gamma=90.00
Space group P2/m (No. 10)
One atom of each set of equivalent atoms:
Cr: 0.000 0.000 0.000
Cr: 0.500 0.500 0.000
Ni: 0.000 0.500 0.500
Ru: 0.500 0.000 0.500

---

# 12
CrNiRu2 after structural relaxation. Source: the Alexandria database, functional PBE-GGA.

Unit cell a=8.733 b=2.670 c=4.466 alpha=90.00 beta=100.41 gamma=90.00
Space group Cm (No. 8)
One atom of each set of equivalent atoms:
Cr: 0.000 0.000 0.000
Ni: 0.252 0.000 0.766
Ru: 0.001 0.500 0.513
Ru: 0.249 0.500 0.259

---

# 13
CrNiRu after structural relaxation. Source: the Alexandria database, functional PBE-GGA.

Unit cell a=4.448 b=7.825 c=4.393 alpha=90.00 beta=106.10 gamma=90.00
Space group C2/c (No. 15)
One atom of each set of equivalent atoms:
Cr: 0.000 0.091 0.250
Ni: 0.000 0.424 0.250
Ru: 0.000 0.242 0.750

---

# 14
CrNiRu after structural relaxation. Source: the Alexandria database, functional PBE-GGA.

Unit cell a=4.152 b=7.955 c=4.411 alpha=90.00 beta=90.00 gamma=90.00
Space group Amm2 (No. 38)
One atom of each set of equivalent atoms:
Cr: 0.000 0.172 0.000
Ni: 0.500 0.174 0.663
Ru: 0.000 0.000 0.523
Ru: 0.500 0.000 0.149

---

# 15
CrNiRu2 after structural relaxation. Source: the Alexandria database, functional PBE-GGA.

Unit cell a=3.789 b=3.789 c=7.062 alpha=90.00 beta=90.00 gamma=90.00
Space group I4/mmm (No. 139)
One atom of each set of equivalent atoms:
Cr: 0.000 0.000 0.000
Ni: 0.000 0.000 0.500
Ru: 0.000 0.500 0.250

---

# 16
CrNiRu after structural relaxation. Source: the Alexandria database, functional PBE-GGA.

Unit cell a=4.0554 b=4.0554 c=2.5822 alpha=90.00 beta=90.00 gamma=120.00
Space group P-6m2 (No. 187)
One atom of each set of equivalent atoms:
Cr: 0.0000 0.0000 0.0000
Ni: 0.3333 0.6667 0.0000
Ru: 0.6667 0.3333 0.5000

---

# 17
CrNiRu after structural relaxation. Source: the Alexandria database, functional PBE-GGA.

Unit cell a=5.526 b=5.526 c=5.526 alpha=90.00 beta=90.00 gamma=90.00
Space group F-43m (No. 216)
One atom of each set of equivalent atoms:
Cr: 0.000 0.000 0.000
Ni: 0.250 0.250 0.250
Ru: 0.250 0.250 0.750

---

# 18
CrNiRu2 after structural relaxation. Source: the Alexandria database, functional PBE-GGA.

Unit cell a=2.999 b=2.999 c=5.698 alpha=90.00 beta=90.00 gamma=90.00
Space group P4mm (No. 99)
One atom of each set of equivalent atoms:
Cr: 0.000 0.000 0.000
Ni: 0.500 0.500 0.187
Ru: 0.000 0.000 0.437
Ru: 0.500 0.500 0.739

---

# 19
Cr2NiRu after structural relaxation. Source: the Alexandria database, functional PBE-GGA.

Unit cell a=8.457 b=2.638 c=4.457 alpha=90.00 beta=101.61 gamma=90.00
Space group Cm (No. 8)
One atom of each set of equivalent atoms:
Cr: 0.000 0.000 0.000
Cr: 0.246 0.500 0.272
Ni: 0.252 0.000 0.787
Ru: 0.498 0.000 0.508

---

# 20
CrNiRu2 after structural relaxation. Source: the Alexandria database, functional PBE-GGA.

Unit cell a=8.291 b=5.332 c=4.631 alpha=90.00 beta=90.00 gamma=90.00
Space group Pbcn (No. 60)
One atom of each set of equivalent atoms:
Cr: 0.000 0.138 0.250
Ni: 0.000 0.370 0.750
Ru: 0.247 0.123 0.582

---

# 21
CrNiRu2 after structural relaxation. Source: the Alexandria database, functional PBE-GGA.

Unit cell a=2.586 b=4.264 c=4.712 alpha=90.00 beta=93.18 gamma=90.00
Space group P2/m (No. 10)
One atom of each set of equivalent atoms:
Cr: 0.000 0.000 0.000
Ni: 0.500 0.000 0.500
Ru: 0.254 0.500 0.742

---

# 22
Cr2NiRu after structural relaxation. Source: the Alexandria database, functional PBE-GGA.

Unit cell a=2.5833 b=2.5833 c=25.3929 alpha=90.00 beta=90.00 gamma=120.00
Space group R-3m (No. 166, hexagonal axes)
One atom of each set of equivalent atoms:
Cr: 0.0000 0.0000 0.2481
Ni: 0.0000 0.0000 0.5000
Ru: 0.0000 0.0000 0.0000

---

# 23
CrNiRu2 after structural relaxation. Source: the Alexandria database, functional PBE-GGA.

Unit cell a=3.670 b=3.670 c=7.567 alpha=90.00 beta=90.00 gamma=90.00
Space group I-4m2 (No. 119)
One atom of each set of equivalent atoms:
Cr: 0.000 0.000 0.000
Ni: 0.000 0.500 0.750
Ru: 0.000 0.000 0.500
Ru: 0.000 0.500 0.250

---

# 24
CrNiRu2 after structural relaxation. Source: the Alexandria database, functional PBE-GGA.

Unit cell a=2.651 b=3.712 c=5.180 alpha=90.00 beta=90.12 gamma=90.00
Space group Pm (No. 6)
One atom of each set of equivalent atoms:
Cr: 0.000 0.000 0.000
Ni: 0.500 0.500 0.768
Ru: 0.499 0.500 0.260
Ru: 0.999 0.000 0.522

---

# 25
CrNiRu2 after structural relaxation. Source: the Alexandria database, functional PBE-GGA.

Unit cell a=5.883 b=5.883 c=5.883 alpha=90.00 beta=90.00 gamma=90.00
Space group Fm-3m (No. 225)
One atom of each set of equivalent atoms:
Cr: 0.000 0.000 0.000
Ni: 0.000 0.000 0.500
Ru: 0.250 0.250 0.250

---

# 26
Cr2NiRu after structural relaxation. Source: the Alexandria database, functional PBE-GGA.

Unit cell a=2.580 b=3.923 c=4.976 alpha=90.00 beta=104.89 gamma=90.00
Space group Pm (No. 6)
One atom of each set of equivalent atoms:
Cr: 0.000 0.000 0.000
Cr: 0.023 0.500 0.741
Ni: 0.682 0.500 0.215
Ru: 0.352 0.000 0.507

---

# 27
Cr2NiRu after structural relaxation. Source: the Alexandria database, functional PBE-GGA.

Unit cell a=3.645 b=3.645 c=3.652 alpha=90.00 beta=90.00 gamma=90.00
Space group P4/mmm (No. 123)
One atom of each set of equivalent atoms:
Cr: 0.000 0.500 0.000
Ni: 0.000 0.000 0.500
Ru: 0.500 0.500 0.500

---

Total energy across the listed records, respectively: -8.196; -8.023; -6.756; -6.274; -8.106; -7.238; -8.166; -8.340; -8.234; -8.182; -8.441; -8.375; -8.179; -8.186; -8.406; -8.109; -7.793; -8.280; -8.443; -8.395; -8.197; -8.399; -8.411; -8.390; -8.318; -8.429; -8.542 eV/atom.
Mass density across the listed records, respectively: 10.0; 8.6; 7.4; 6.6; 9.9; 8.2; 9.6; 10.2; 9.7; 9.6; 9.0; 10.1; 9.6; 9.7; 10.2; 9.6; 8.3; 10.1; 9.0; 10.2; 10.0; 9.0; 10.2; 10.2; 10.2; 9.0; 9.0 g cm⁻³.
D(E_F) across the listed records, respectively: 15.33; 15.54; 11.81; 8.04; 13.54; 6.63; 12.90; 5.85; 5.10; 14.22; 4.30; 9.09; 15.51; 10.64; 8.86; 4.76; 7.30; 4.77; 9.85; 18.38; 5.75; 10.78; 9.13; 5.13; 18.41; 5.08; 4.37 states/eV per cell.